DFT (PBEsol) results for a relaxed structure of Re2RhW.

## Properties
- Distance to the lowest polymorph of the same formula: 46 meV/atom
- Total magnetization: 0.00 μB/cell
- E_tot: -48.64 eV/f.u.

CIF file:
```
data_Re2RhW
_chemical_formula_sum 'Re2 Rh1 W1'
_cell_length_a 2.739
_cell_length_b 2.739
_cell_length_c 7.787
_cell_angle_alpha 90.00
_cell_angle_beta 90.00
_cell_angle_gamma 90.00
_space_group_name_H-M_alt 'P 1'
_space_group_IT_number 1
loop_
_space_group_symop_operation_xyz
'x,y,z'
loop_
_atom_site_label
_atom_site_type_symbol
_atom_site_fract_x
_atom_site_fract_y
_atom_site_fract_z
W1 W 0.500 0.500 0.746
Re1 Re 0.500 0.500 0.248
Rh1 Rh 0.000 0.000 0.497
Re2 Re 0.000 0.000 0.008
```